Entry 1:
Compound: Be2Re
Source: Alexandria via LeMat-Bulk
Functional: PBE-GGA
Structure: relaxed

abc: 4.3860 4.3860 14.2641
angles: 90.00 90.00 120.00
Closest atoms and distances in Å follow each position.
Element x y z (fractional)
Be1 0.0000 0.5000 0.0000  6 Be 2.19
Be2 0.0000 0.5000 0.5000  6 Be 2.19
Be3 0.1637 0.3275 0.2500  6 Be 2.15-2.23
Be4 0.1637 0.8363 0.2500  6 Be 2.15-2.23
Be5 0.3275 0.1637 0.7500  6 Be 2.15-2.23
Be6 0.3333 0.6667 0.1255  6 Be 2.19
Be7 0.3333 0.6667 0.3745  6 Be 2.19
Be8 0.5000 0.0000 0.0000  6 Be 2.19
Be9 0.5000 0.0000 0.5000  6 Be 2.19
Be10 0.5000 0.5000 0.0000  6 Be 2.19
Be11 0.5000 0.5000 0.5000  6 Be 2.19
Be12 0.6667 0.3333 0.6255  6 Be 2.19
Be13 0.6667 0.3333 0.8745  6 Be 2.19
Be14 0.6725 0.8363 0.2500  6 Be 2.15-2.23
Be15 0.8363 0.1637 0.7500  6 Be 2.15-2.23
Be16 0.8363 0.6725 0.7500  6 Be 2.15-2.23
Re1 0.0000 0.0000 0.0948  12 Be 2.54-2.58, 4 Re 2.69-2.70
Re2 0.0000 0.0000 0.4052  12 Be 2.54-2.58, 4 Re 2.69-2.70
Re3 0.0000 0.0000 0.5948  12 Be 2.54-2.58, 4 Re 2.69-2.70
Re4 0.0000 0.0000 0.9052  12 Be 2.54-2.58, 4 Re 2.69-2.70
Re5 0.3333 0.6667 0.6576  12 Be 2.56-2.58, 4 Re 2.64-2.69
Re6 0.3333 0.6667 0.8424  12 Be 2.56-2.58, 4 Re 2.64-2.69
Re7 0.6667 0.3333 0.1576  12 Be 2.56-2.58, 4 Re 2.64-2.69
Re8 0.6667 0.3333 0.3424  12 Be 2.56-2.58, 4 Re 2.64-2.69

Results
space-group type: P6_3/mmc, No. 194
uncorrected energy: -7.0182 eV/atom
DOS(E_F): 10.40 states/eV/cell
energy of formation from the pure elements: -0.385 eV per atom
energy relative to the lowest polymorph listed for this composition: 0.00 eV/f.u.

---

Entry 2:
Compound: BeRe
Source: Alexandria via LeMat-Bulk
Functional: PBE-GGA
Structure: relaxed

abc: 4.2883 4.2883 4.2883
angles: 36.50 36.50 36.50
Closest atoms and distances in Å follow each position.
Element x y z (fractional)
Be1 0.0000 0.0000 0.0000  6 Re 2.53, 6 Be 2.69
Re1 0.5000 0.5000 0.5000  6 Be 2.53, 6 Re 2.69

Results
space-group type: R-3m, No. 166
uncorrected energy: -7.8921 eV/atom
DOS(E_F): 1.43 states/eV/cell
energy of formation from the pure elements: 0.195 eV per atom
energy relative to the lowest polymorph listed for this composition: 0.75 eV/f.u.

---

Entry 3:
Compound: BeRe
Source: Alexandria via LeMat-Bulk
Functional: PBE-GGA
Structure: relaxed

abc: 3.8423 3.8423 4.3916
angles: 90.00 90.00 120.00
Closest atoms and distances in Å follow each position.
Element x y z (fractional)
Be1 0.3333 0.6667 0.2500  5 Re 2.20-2.22
Be2 0.6667 0.3333 0.7500  5 Re 2.20-2.22
Re1 0.3333 0.6667 0.7500  5 Be 2.20-2.22
Re2 0.6667 0.3333 0.2500  5 Be 2.20-2.22

Results
space-group type: P6_3/mmc, No. 194
uncorrected energy: -7.1114 eV/atom
DOS(E_F): 3.49 states/eV/cell
energy of formation from the pure elements: 0.976 eV per atom
energy relative to the lowest polymorph listed for this composition: 2.31 eV/f.u.